Na4CaFe4P6O24 after structural relaxation. Source: Alexandria via LeMat-Bulk, functional PBE+U.

Volume ... 11.91 Å³ per atom
E ... -6.8119 eV per atom

a = 12.3997 Å, b = 12.6530 Å, c = 6.4787 Å
α = 90.00°, β = 113.95°, γ = 90.00°
Space group C2 (No. 5)
Unique sites:
Na: 0.0000 0.0000 0.0000
Na: 0.0000 0.2742 0.0000
Na: 0.0017 0.7729 0.2477
Ca: 0.0000 0.5288 0.5000
Fe: 0.2207 0.1142 0.8873
Fe: 0.2304 0.4265 0.3915
P: 0.0000 0.5439 0.0000
P: 0.0000 0.9970 0.5000
P: 0.2485 0.1661 0.3869
P: 0.2478 0.3718 0.8848
O: 0.0535 0.0659 0.7152
O: 0.0554 0.4705 0.2114
O: 0.0938 0.6153 0.9675
O: 0.0945 0.9217 0.4771
O: 0.1202 0.6771 0.5575
O: 0.1246 0.8527 0.0715
O: 0.1805 0.1087 0.1577
O: 0.1809 0.2667 0.8777
O: 0.1811 0.4316 0.6552
O: 0.1887 0.2757 0.3683
O: 0.2342 0.0972 0.5783
O: 0.2365 0.4445 0.0750